CsAl3In | PBE | optimized geometry

Properties
**E above lowest polymorph**: 0 meV per atom
**ΔH_f (0 K)**: 0.64 eV per atom
**Density**: 3.1 g/cm³

Cell lengths 5.5771, 5.5771, 5.5771 Å; angles 90.00, 90.00, 90.00 degrees
Last column: nearest neighbours and their distance in Å.
Fractional coordinates of all 5 atoms:
Al 0.0000 0.5000 0.0000  2 In 2.79
Al 0.0000 0.0000 0.5000  2 In 2.79
Al 0.5000 0.0000 0.0000  2 In 2.79
In 0.0000 0.0000 0.0000  6 Al 2.79
Cs 0.5000 0.5000 0.5000  12 Al 3.94

---

CsAgHCl3 | PBE | optimized geometry

Properties
**Total DFT energy (no corrections)**: -36.834 eV per cell
**Density**: 3.0 g/cm³

Cell lengths 7.3639, 7.3639, 8.3717 Å; angles 71.76, 71.76, 64.46 degrees
Last column: nearest neighbours and their distance in Å.
Fractional coordinates of all 12 atoms:
H 0.8997 0.8997 0.2610  1 Cl 1.31
H 0.1003 0.1003 0.7390  1 Cl 1.31
Ag 0.2888 0.7112 0.5000  2 Cl 2.35
Ag 0.7112 0.2888 0.5000  2 Cl 2.35
Cs 0.3008 0.3008 0.1625  6 Cl 3.53-3.75
Cs 0.6992 0.6992 0.8375  6 Cl 3.53-3.75
Cl 0.2996 0.7945 0.2028  1 Ag 2.35, 1 H 2.62
Cl 0.2131 0.2131 0.6869  1 H 1.31
Cl 0.2055 0.7004 0.7972  1 Ag 2.35, 1 H 2.62
Cl 0.7869 0.7869 0.3131  1 H 1.31
Cl 0.7004 0.2055 0.7972  1 Ag 2.35, 1 H 2.62
Cl 0.7945 0.2996 0.2028  1 Ag 2.35, 1 H 2.62

---

Ba2GaSi | PBE | optimized geometry

Properties
**ΔE_f (raw)**: 0.653 eV per formula unit
**Density**: 4.1 g/cm³

Cell lengths 9.0464, 9.0464, 7.3811 Å; angles 52.21, 52.21, 90.00 degrees
Last column: nearest neighbours and their distance in Å.
Fractional coordinates of all 8 atoms:
Si 0.2500 0.7500 0.5000  4 Ba 3.22
Si 0.5000 0.5000 0.0000  4 Ba 3.22
Ga 0.7500 0.2500 0.5000  4 Ba 3.44, 2 Si 3.68
Ga 0.0000 0.0000 0.0000  4 Ba 3.44, 2 Si 3.68
Ba 0.3750 0.3922 0.7500  2 Si 3.22, 2 Ga 3.44
Ba 0.1422 0.6250 0.2500  2 Si 3.22, 2 Ga 3.44
Ba 0.6078 0.1250 0.2500  2 Si 3.22, 2 Ga 3.44
Ba 0.8750 0.8578 0.7500  2 Si 3.22, 2 Ga 3.44

---

Pu2CdPd | PBE | optimized geometry

Properties
**E above lowest polymorph**: 0 meV per atom
**ΔH_f (0 K)**: -0.18 eV per atom
**Density**: 12.4 g/cm³

Cell lengths 3.9169, 3.9169, 6.1722 Å; angles 90.00, 90.00, 90.00 degrees
Last column: nearest neighbours and their distance in Å.
Fractional coordinates of all 4 atoms:
Pu 0.0000 0.0000 0.2327  1 Pu 2.87, 4 Pd 3.12
Pu 0.0000 0.0000 0.7673  1 Pu 2.87, 4 Pd 3.12
Pd 0.5000 0.5000 0.0000  2 Cd 3.09, 8 Pu 3.12
Cd 0.5000 0.5000 0.5000  2 Pd 3.09, 8 Pu 3.22

---

KRePt | PBE | optimized geometry

Properties
**E above lowest polymorph**: 123 meV per atom
**ΔH_f (0 K)**: 0.35 eV per atom
**Density**: 9.5 g/cm³

Cell lengths 6.7104, 4.1546, 5.3836 Å; angles 90.00, 78.62, 90.00 degrees
Last column: nearest neighbours and their distance in Å.
Fractional coordinates of all 6 atoms:
Pt 0.4169 0.2500 0.8993  4 Re 2.66-2.74, 2 Pt 2.69
Pt 0.5831 0.7500 0.1007  4 Re 2.66-2.74, 2 Pt 2.69
Re 0.4545 0.2500 0.3970  2 Re 2.49, 4 Pt 2.66-2.74
Re 0.5455 0.7500 0.6030  2 Re 2.49, 4 Pt 2.66-2.74
K 0.0718 0.7500 0.2298  4 Pt 3.35-3.48, 4 K 3.51-3.55, 3 Re 3.55-3.70
K 0.9282 0.2500 0.7702  4 Pt 3.35-3.48, 4 K 3.51-3.55, 3 Re 3.55-3.70

---

Pm2GeBr | PBE | optimized geometry

Properties
**E above lowest polymorph**: 252 meV per atom
**ΔE_f (raw)**: -3.589 eV per formula unit
**Density**: 7.2 g/cm³

Cell lengths 5.2391, 5.2391, 5.2391 Å; angles 60.00, 60.00, 60.00 degrees
Last column: nearest neighbours and their distance in Å.
Fractional coordinates of all 4 atoms:
Pm 0.7500 0.7500 0.7500  4 Ge 3.21, 4 Br 3.21
Pm 0.2500 0.2500 0.2500  4 Ge 3.21, 4 Br 3.21
Br 0.5000 0.5000 0.5000  8 Pm 3.21
Ge 0.0000 0.0000 0.0000  8 Pm 3.21

---

ScCrIn | PBE | optimized geometry

Properties
**E above lowest polymorph**: 284 meV per atom
**ΔH_f (0 K)**: 0.32 eV per atom
**Density**: 5.1 g/cm³

Cell lengths 4.6152, 4.6152, 4.6152 Å; angles 60.00, 60.00, 60.00 degrees
Last column: nearest neighbours and their distance in Å.
Fractional coordinates of all 3 atoms:
Cr 0.7500 0.7500 0.7500  4 Sc 2.83, 4 In 2.83
In 0.0000 0.0000 0.0000  4 Cr 2.83
Sc 0.5000 0.5000 0.5000  4 Cr 2.83

---

V2As2Cl | PBE | optimized geometry

Properties
**E above lowest polymorph**: 0 meV per atom
**ΔE_f (raw)**: -0.554 eV per formula unit
**Density**: 4.9 g/cm³

Cell lengths 4.6407, 4.6407, 5.5533 Å; angles 65.30, 65.30, 90.00 degrees
Last column: nearest neighbours and their distance in Å.
Fractional coordinates of all 5 atoms:
As 0.3639 0.3639 0.2721  1 As 2.44, 4 V 2.53
As 0.6361 0.6361 0.7279  1 As 2.44, 4 V 2.53
V 0.7500 0.2500 0.5000  4 As 2.53
V 0.2500 0.7500 0.5000  4 As 2.53
Cl 0.0000 0.0000 0.0000  8 V 3.23, 10 As 3.26-3.50

---

Li2BeIr | PBE | optimized geometry

Properties
**ΔH_f (0 K)**: -0.13 eV per atom
**Density**: 7.3 g/cm³

Cell lengths 4.2816, 4.2816, 4.4107 Å; angles 71.25, 71.25, 40.13 degrees
Last column: nearest neighbours and their distance in Å.
Fractional coordinates of all 4 atoms:
Li 0.2379 0.2379 0.2086  3 Li 2.31-2.45, 2 Be 2.55
Li 0.9969 0.9969 0.0369  3 Li 2.31-2.45, 2 Be 2.48
Ir 0.7705 0.7705 0.6690  3 Be 2.26-2.37
Be 0.4946 0.4946 0.5855  3 Ir 2.26-2.37, 2 Li 2.48

---

MnAsPd2W | PBE | optimized geometry

Properties
**ΔH_f (0 K)**: 0.73 eV per atom
**Density**: 8.9 g/cm³

Cell lengths 4.5886, 4.6896, 4.5886 Å; angles 90.00, 90.00, 90.00 degrees
Last column: nearest neighbours and their distance in Å.
Fractional coordinates of all 5 atoms:
As 0.0000 0.0000 0.0000  4 Pd 2.29, 2 W 2.34
W 0.0000 0.5000 0.0000  2 As 2.34
Pd 0.5000 0.0000 0.0000  2 As 2.29
Pd 0.0000 0.0000 0.5000  2 As 2.29
Mn 0.5000 0.5000 0.5000  4 W 3.24, 8 Pd 3.28

---

YRuO2 | PBE | optimized geometry

Properties
**E above lowest polymorph**: 309 meV per atom
**ΔE_f (raw)**: -6.021 eV per formula unit
**Density**: 6.4 g/cm³

Cell lengths 4.3193, 4.3193, 6.8793 Å; angles 71.70, 71.70, 90.00 degrees
Last column: nearest neighbours and their distance in Å.
Fractional coordinates of all 8 atoms:
Ru 0.0000 0.0000 0.0000  4 O 2.09
Ru 0.7500 0.2500 0.5000  4 O 2.09
O 0.3750 0.3367 0.7500  2 Ru 2.09, 2 Y 2.26
O 0.0867 0.6250 0.2500  2 Ru 2.09, 2 Y 2.26
O 0.6633 0.1250 0.2500  2 Ru 2.09, 2 Y 2.26
O 0.8750 0.9133 0.7500  2 Ru 2.09, 2 Y 2.26
Y 0.2500 0.7500 0.5000  4 O 2.26
Y 0.5000 0.5000 0.0000  4 O 2.26

---

CaSm2In | PBE | optimized geometry

Properties
**E above lowest polymorph**: 165 meV per atom
**ΔH_f (0 K)**: -0.06 eV per atom
**Density**: 6.1 g/cm³

Cell lengths 5.6023, 5.6023, 5.6021 Å; angles 60.00, 60.00, 60.00 degrees
Last column: nearest neighbours and their distance in Å.
Fractional coordinates of all 4 atoms:
Sm 0.2501 0.2501 0.2496  4 Ca 3.43, 4 Sm 3.43
Sm 0.9999 0.9999 0.0002  4 Sm 3.43, 4 In 3.43
Ca 0.5000 0.5000 0.4999  4 In 3.43, 4 Sm 3.43
In 0.7499 0.7499 0.7503  4 Ca 3.43, 4 Sm 3.43

---

Q: The highest density belongs to which entry?
A: Pu2CdPd

---

Q: Which formula does entry 10 have?
A: MnAsPd2W

---

Q: Which value of density does entry 9 give?
A: 7.3 g/cm³